No. 1
Compound: AlHg2Au
Source: Alexandria via LeMat-Bulk
Functional: PBEsol
Structure: relaxed

## Properties
**Formation energy from the elements**: 0.062 eV per atom
**Theoretical density**: 13578 kg/m³
**Crystal system**: tetragonal

a = 5.243 Å, b = 5.243 Å, c = 5.243 Å
α = 132.68°, β = 132.68°, γ = 69.16°
Fractional positions:
Al 0.000 0.000 0.000
Hg 0.250 0.750 0.500
Hg 0.750 0.250 0.500
Au 0.500 0.500 0.000


No. 2
Compound: Na2AlHgAu
Source: Alexandria via LeMat-Bulk
Functional: PBEsol
Structure: relaxed

## Properties
**Formation energy from the elements**: 0.222 eV per atom
**Theoretical density**: 5067 kg/m³
**Crystal system**: tetragonal

a = 5.733 Å, b = 5.733 Å, c = 4.691 Å
α = 90.00°, β = 90.00°, γ = 90.00°
Fractional positions:
Na 0.000 0.500 0.000
Na 0.500 0.000 0.000
Al 0.000 0.000 0.000
Hg 0.500 0.500 0.500
Au 0.000 0.000 0.500


Number 1: electronic total energy -2.226 eV per atom. Number 2: electronic total energy -2.055 eV per atom.